Material: Sc2TaSb
Method: DFT, PBEsol
State: optimized geometry

Unit cell a=3.0978 b=3.0978 c=8.7652 alpha=90.00 beta=90.00 gamma=90.00
Positions (direct):
1 Sc 0.0000 0.0000 0.2380
2 Sc 0.0000 0.0000 0.7620
3 Ta 0.5000 0.5000 0.0000
4 Sb 0.5000 0.5000 0.5000

Output
- Space group: P4/mmm
- ΔE_f (raw): -182 meV per atom
- Total energy: -7.76 eV/atom
- Crystal system: tetragonal

---

Material: ZnCuP2
Method: DFT, PBEsol
State: optimized geometry

Unit cell a=4.1835 b=4.1835 c=3.3674 alpha=90.00 beta=90.00 gamma=108.37
Positions (direct):
1 Zn 0.0000 0.0000 0.0000
2 Cu 0.5000 0.5000 0.0000
3 P 0.0000 0.5000 0.5000
4 P 0.5000 0.0000 0.5000

Output
- Formation energy: 0.269 eV per atom
- Space group: Cmmm
- Total energy: -4.11 eV/atom
- Crystal system: orthorhombic

---

Material: HfTaNb2
Method: DFT, PBEsol
State: optimized geometry

Unit cell a=4.6983 b=4.6983 c=4.6983 alpha=60.00 beta=60.00 gamma=60.00
Positions (direct):
1 Hf 0.0000 0.0000 0.0000
2 Ta 0.5000 0.5000 0.5000
3 Nb 0.2500 0.2500 0.2500
4 Nb 0.7500 0.7500 0.7500

Output
- Formation energy: 0.057 eV per atom
- Space group: Fm-3m
- Total energy: -11.12 eV/atom
- Crystal system: cubic

---

Material: ZnWF6
Method: DFT, PBEsol
State: optimized geometry

Unit cell a=5.5577 b=5.5577 c=5.5577 alpha=54.63 beta=54.63 gamma=54.63
Positions (direct):
1 Zn 0.0000 0.0000 0.0000
2 W 0.5000 0.5000 0.5000
3 F 0.1232 0.3846 0.7436
4 F 0.2564 0.8768 0.6154
5 F 0.3846 0.7436 0.1232
6 F 0.6154 0.2564 0.8768
7 F 0.7436 0.1232 0.3846
8 F 0.8768 0.6154 0.2564

Output
- Space group: R-3
- ΔE_f (raw): -2273 meV per atom
- Total energy: -5.64 eV/atom
- Crystal system: trigonal

---

Material: AsPdO2
Method: DFT, PBEsol
State: optimized geometry

Unit cell a=6.5238 b=6.5238 c=6.5238 alpha=27.66 beta=27.66 gamma=27.66
Positions (direct):
1 As 0.0000 0.0000 0.0000
2 Pd 0.5000 0.5000 0.5000
3 O 0.3940 0.3940 0.3940
4 O 0.6060 0.6060 0.6060

Output
- Space group: R-3m
- ΔE_f (raw): -443 meV per atom
- Total energy: -5.83 eV/atom
- Crystal system: trigonal

---

Material: AlAu2Se
Method: DFT, PBEsol
State: optimized geometry

Unit cell a=4.6468 b=4.6468 c=4.6468 alpha=60.00 beta=60.00 gamma=60.00
Positions (direct):
1 Al 0.0000 0.0000 0.0000
2 Au 0.2500 0.2500 0.2500
3 Au 0.7500 0.7500 0.7500
4 Se 0.5000 0.5000 0.5000

Output
- Space group: Fm-3m
- ΔE_f (raw): 111 meV per atom
- Total energy: -3.84 eV/atom
- Crystal system: cubic